The following is a DFT calculation (PBE) of crystalline Cs3KPb at its relaxed geometry.

a = 5.071 Å, b = 12.985 Å, c = 12.828 Å
α = 111.82°, β = 90.00°, γ = 90.00°
Fractional coordinates of all 10 atoms:
Cs1 0.195 0.421 0.727
Cs2 0.696 0.001 0.827
Cs3 0.196 0.736 0.503
Cs4 0.696 0.396 0.396
Cs5 0.696 0.686 0.051
Cs6 0.196 0.026 0.158
K1 0.695 0.065 0.490
K2 0.195 0.357 0.064
Pb1 0.695 0.653 0.707
Pb2 0.196 0.768 0.847

Calculated values
E_form in meV/atom: -52
E in eV per atom: -1.525
Crystal system: monoclinic
Energy relative to the lowest polymorph listed for this composition in eV per atom: 0.000
M_tot in Bohr magnetons per cell: 0.000
ρ in kg/m³: 2732

The following is a DFT calculation (PBE) of crystalline Cs2KPb at its relaxed geometry.

a = 4.386 Å, b = 4.386 Å, c = 13.469 Å
α = 90.00°, β = 90.00°, γ = 90.00°
Fractional coordinates of all 4 atoms:
K1 0.500 0.500 0.500
Cs1 0.000 0.000 0.187
Cs2 0.000 0.000 0.813
Pb1 0.500 0.500 0.000

Calculated values
E_form in meV/atom: 35
E in eV per atom: -1.593
Crystal system: tetragonal
Energy relative to the lowest polymorph listed for this composition in eV per atom: 0.008
M_tot in Bohr magnetons per cell: 0.302
ρ in kg/m³: 3282

The following is a DFT calculation (PBE) of crystalline CsKPb2 at its relaxed geometry.

a = 8.489 Å, b = 9.105 Å, c = 10.596 Å
α = 90.00°, β = 90.00°, γ = 90.00°
Fractional coordinates of all 16 atoms:
Pb1 0.425 0.851 0.040
Pb2 0.075 0.851 0.040
Pb3 0.575 0.649 0.540
Pb4 0.925 0.149 0.960
Pb5 0.575 0.149 0.960
Pb6 0.075 0.351 0.460
Pb7 0.425 0.351 0.460
Pb8 0.925 0.649 0.540
K1 0.750 0.803 0.826
K2 0.250 0.197 0.174
K3 0.750 0.303 0.674
K4 0.250 0.697 0.326
Cs1 0.750 0.003 0.319
Cs2 0.250 0.497 0.819
Cs3 0.250 0.997 0.681
Cs4 0.750 0.503 0.181

Calculated values
E_form in meV/atom: -131
E in eV per atom: -2.473
Crystal system: orthorhombic
Energy relative to the lowest polymorph listed for this composition in eV per atom: 0.000
M_tot in Bohr magnetons per cell: 0.000
ρ in kg/m³: 4756

The following is a DFT calculation (PBE) of crystalline Cs2KPb at its relaxed geometry.

a = 5.787 Å, b = 5.787 Å, c = 14.622 Å
α = 78.59°, β = 78.59°, γ = 90.00°
Fractional coordinates of all 8 atoms:
Pb1 0.000 0.000 0.000
Pb2 0.750 0.250 0.500
Cs1 0.375 0.367 0.750
Cs2 0.117 0.625 0.250
Cs3 0.633 0.125 0.250
Cs4 0.875 0.883 0.750
K1 0.500 0.500 0.000
K2 0.250 0.750 0.500

Calculated values
E_form in meV/atom: 144
E in eV per atom: -1.484
Crystal system: tetragonal
Energy relative to the lowest polymorph listed for this composition in eV per atom: 0.117
M_tot in Bohr magnetons per cell: 0.002
ρ in kg/m³: 3618

The following is a DFT calculation (PBE) of crystalline CsK14Pb at its relaxed geometry.

a = 8.688 Å, b = 9.847 Å, c = 14.259 Å
α = 90.00°, β = 90.00°, γ = 116.18°
Fractional coordinates of all 16 atoms:
K1 0.788 0.576 0.325
K2 0.814 0.153 0.263
K3 0.214 0.896 0.500
K4 0.695 0.874 0.000
K5 0.179 0.874 0.000
K6 0.699 0.398 0.000
K7 0.788 0.576 0.675
K8 0.682 0.896 0.500
K9 0.339 0.153 0.737
K10 0.814 0.153 0.737
K11 0.171 0.342 0.000
K12 0.331 0.663 0.770
K13 0.331 0.663 0.230
K14 0.339 0.153 0.263
Cs1 0.191 0.382 0.500
Pb1 0.625 0.250 0.500

Calculated values
E_form in meV/atom: 6
E in eV per atom: -1.239
Crystal system: orthorhombic
M_tot in Bohr magnetons per cell: 0.000
ρ in kg/m³: 1346

The following is a DFT calculation (PBE) of crystalline Cs2K4Pb at its relaxed geometry.

a = 6.992 Å, b = 6.992 Å, c = 12.302 Å
α = 73.49°, β = 73.49°, γ = 90.00°
Fractional coordinates of all 7 atoms:
K1 0.500 0.000 0.000
K2 0.155 0.155 0.689
K3 0.000 0.500 0.000
K4 0.845 0.845 0.311
Pb1 0.000 0.000 0.000
Cs1 0.360 0.360 0.279
Cs2 0.640 0.640 0.721

Calculated values
E_form in meV/atom: 13
E in eV per atom: -1.388
Crystal system: tetragonal
M_tot in Bohr magnetons per cell: 0.000
ρ in kg/m³: 1898